# 1
A geometry-optimized Pr2AlTlPd4 structure. Source: OQMD via LeMat-Bulk, functional PBE-GGA.

**M_tot**: 0.00 μB/cell
**Space group**: P-3m1

```
Pr2AlTlPd4
1.0
-2.025 -3.228 -2.508
4.469 -0.259 0.874
-1.808 -4.918 7.789
Al Pd Pr Tl
1 4 2 1
direct
0.000 0.000 0.000
0.333 0.667 0.073
0.333 0.667 0.408
0.667 0.333 0.592
0.667 0.333 0.927
0.667 0.333 0.246
0.333 0.667 0.754
0.000 0.000 0.500
```

# 2
A geometry-optimized PrTmAl2Pd4 structure. Source: OQMD via LeMat-Bulk, functional PBE-GGA.

**M_tot**: 0.00 μB/cell
**Space group**: P-6m2

```
PrTmAl2Pd4
1.0
4.385 0.000 0.000
-2.192 3.797 0.000
0.000 0.000 9.254
Al Pd Pr Tm
2 4 1 1
direct
0.667 0.333 0.262
0.667 0.333 0.738
0.000 0.000 0.187
0.333 0.667 0.338
0.333 0.667 0.662
0.000 0.000 0.813
0.333 0.667 0.000
0.000 0.000 0.500
```

# 3
A geometry-optimized PrZrAl2Pd4 structure. Source: OQMD via LeMat-Bulk, functional PBE-GGA.

**M_tot**: 0.01 μB/cell
**Space group**: P-6m2

```
PrZrAl2Pd4
1.0
-2.070 1.987 3.288
-2.279 -2.192 -3.007
0.679 -7.567 5.000
Al Pd Pr Zr
2 4 1 1
direct
0.667 0.333 0.274
0.667 0.333 0.726
0.333 0.667 0.187
0.000 0.000 0.344
0.000 0.000 0.656
0.333 0.667 0.813
0.000 0.000 0.000
0.333 0.667 0.500
```

Number 1: volume 21.1 Å³/atom, electronic total energy -5.26 eV/atom. Number 2: volume 19.3 Å³/atom, electronic total energy -5.59 eV/atom. Number 3: volume 18.7 Å³/atom, electronic total energy -6.02 eV/atom.